# 1
Na4DyHg15 after structural relaxation, computed with PBE-GGA.

a b c (Å): 4.6616 4.6616 23.3361
angles (deg): 90.00 90.00 90.00
Fractional coordinates of all 20 atoms:
Na 0.0000 0.0000 0.1989
Na 0.0000 0.0000 0.3992
Na 0.0000 0.0000 0.6008
Na 0.0000 0.0000 0.8011
Dy 0.0000 0.0000 0.0000
Hg 0.5000 0.5000 0.0000
Hg 0.5000 0.5000 0.1960
Hg 0.5000 0.5000 0.3992
Hg 0.5000 0.5000 0.6008
Hg 0.5000 0.5000 0.8040
Hg 0.5000 0.0000 0.0981
Hg 0.5000 0.0000 0.2984
Hg 0.5000 0.0000 0.5000
Hg 0.5000 0.0000 0.7016
Hg 0.5000 0.0000 0.9019
Hg 0.0000 0.5000 0.0981
Hg 0.0000 0.5000 0.2984
Hg 0.0000 0.5000 0.5000
Hg 0.0000 0.5000 0.7016
Hg 0.0000 0.5000 0.9019

Computed properties:
Total DFT energy (no corrections) ... -18.7 eV/cell
DOS(E_F) ... 6.000 states/eV/f.u.
Magnetization ... 0.00 μB/f.u.

# 2
AgBPd2 after structural relaxation, computed with PBE-GGA.

a b c (Å): 2.7539 2.7539 7.1191
angles (deg): 90.00 90.00 90.00
Fractional coordinates of all 4 atoms:
B 0.5000 0.5000 0.0000
Pd 0.0000 0.0000 0.8145
Pd 0.0000 0.0000 0.1855
Ag 0.5000 0.5000 0.5000

Computed properties:
Total DFT energy (no corrections) ... -19.9 eV/cell
DOS(E_F) ... 0.908 states/eV/f.u.
Magnetization ... 0.00 μB/f.u.

# 3
La2TiAs after structural relaxation, computed with PBE-GGA.

a b c (Å): 8.4396 8.4396 6.6816
angles (deg): 50.84 50.84 90.00
Fractional coordinates of all 8 atoms:
As 0.0000 0.0000 0.0000
As 0.7500 0.2500 0.5000
Ti 0.5000 0.5000 0.0000
Ti 0.2500 0.7500 0.5000
La 0.6433 0.1250 0.2500
La 0.1067 0.6250 0.2500
La 0.3750 0.3567 0.7500
La 0.8750 0.8933 0.7500

Computed properties:
Total DFT energy (no corrections) ... -45.4 eV/cell
DOS(E_F) ... 9.094 states/eV/f.u.
Magnetization ... 0.00 μB/f.u.

# 4
Na3Sn2Pb3 after structural relaxation, computed with PBE-GGA.

a b c (Å): 4.8128 5.0041 10.0806
angles (deg): 75.76 75.96 90.05
Fractional coordinates of all 8 atoms:
Na 0.8739 0.3738 0.2522
Na 0.1261 0.6262 0.7478
Na 0.0000 0.0000 0.0000
Sn 0.7470 0.7522 0.4950
Sn 0.2530 0.2478 0.5050
Pb 0.3682 0.8723 0.2564
Pb 0.5000 0.5000 0.0000
Pb 0.6318 0.1277 0.7436

Computed properties:
Total DFT energy (no corrections) ... -24.0 eV/cell
DOS(E_F) ... 3.795 states/eV/f.u.
Magnetization ... 0.00 μB/f.u.

# 5
HoFe2SiH after structural relaxation, computed with PBE-GGA.

a b c (Å): 3.4947 5.4582 7.1177
angles (deg): 90.00 90.00 108.67
Fractional coordinates of all 10 atoms:
Ho 0.4546 0.9091 0.7500
Ho 0.5454 0.0909 0.2500
Fe 0.1670 0.3341 0.9455
Fe 0.8330 0.6659 0.0545
Fe 0.1670 0.3341 0.5545
Fe 0.8330 0.6659 0.4455
Si 0.7339 0.4679 0.7500
Si 0.2661 0.5321 0.2500
H 0.0000 0.0000 0.0000
H 0.0000 0.0000 0.5000

Computed properties:
Total DFT energy (no corrections) ... -65.4 eV/cell
DOS(E_F) ... 2.662 states/eV/f.u.
Magnetization ... 3.43 μB/f.u.

# 6
CsRb2OsBr6 after structural relaxation, computed with PBE-GGA.

a b c (Å): 8.2907 8.2907 8.2908
angles (deg): 60.00 60.00 90.00
Fractional coordinates of all 10 atoms:
Cs 0.5000 0.5000 0.0000
Os 0.0000 0.0000 0.0000
Br 0.2149 0.2149 0.5702
Br 0.7851 0.7851 0.4298
Br 0.2149 0.2149 0.0000
Br 0.7851 0.7851 0.0000
Br 0.7851 0.2149 0.0000
Br 0.2149 0.7851 0.0000
Rb 0.7500 0.2500 0.5000
Rb 0.2500 0.7500 0.5000

Computed properties:
DOS(E_F) ... 10.479 states/eV/f.u.
Formation energy (no corrections) ... -950 kJ/mol of formula units
Magnetization ... 1.00 μB/f.u.

# 7
CrSb after structural relaxation, computed with PBE-GGA.

a b c (Å): 7.9784 7.9784 4.5361
angles (deg): 90.00 90.00 90.00
Fractional coordinates of all 16 atoms:
Cr 0.1489 0.1489 0.0000
Cr 0.1489 0.8511 0.0000
Cr 0.8511 0.1489 0.0000
Cr 0.8511 0.8511 0.0000
Cr 0.6489 0.6489 0.5000
Cr 0.6489 0.3511 0.5000
Cr 0.3511 0.6489 0.5000
Cr 0.3511 0.3511 0.5000
Sb 0.7779 0.5000 0.0000
Sb 0.2221 0.5000 0.0000
Sb 0.5000 0.2221 0.0000
Sb 0.5000 0.7779 0.0000
Sb 0.2779 0.0000 0.5000
Sb 0.7221 0.0000 0.5000
Sb 0.0000 0.7221 0.5000
Sb 0.0000 0.2779 0.5000

Computed properties:
DOS(E_F) ... 2.221 states/eV/f.u.
Formation energy (no corrections) ... 71 kJ/mol of formula units
Magnetization ... 0.08 μB/f.u.

# 8
BaHg2I2 after structural relaxation, computed with PBE-GGA.

a b c (Å): 8.9978 8.9978 6.5073
angles (deg): 90.00 90.00 90.00
Fractional coordinates of all 10 atoms:
I 0.3346 0.8346 0.0000
I 0.8346 0.6654 0.0000
I 0.6654 0.1655 0.0000
I 0.1655 0.3346 0.0000
Hg 0.1321 0.6321 0.5000
Hg 0.6321 0.8679 0.5000
Hg 0.8679 0.3679 0.5000
Hg 0.3679 0.1321 0.5000
Ba 0.0000 0.0000 0.0000
Ba 0.5000 0.5000 0.0000

Computed properties:
DOS(E_F) ... 0.000 states/eV/f.u.
Formation energy (no corrections) ... -410 kJ/mol of formula units
Polymorph energy (0 for the lowest one) ... 52.2 kJ/mol of formula units
Magnetization ... 0.00 μB/f.u.

# 9
Eu2O3 after structural relaxation, computed with PBE-GGA.

a b c (Å): 3.7979 3.7980 5.9709
angles (deg): 90.00 90.00 120.00
Fractional coordinates of all 5 atoms:
Eu 0.6666 0.3333 0.7555
Eu 0.3334 0.6667 0.2445
O 0.0000 0.0000 0.0000
O 0.6667 0.3333 0.3516
O 0.3333 0.6667 0.6484

Computed properties:
DOS(E_F) ... 8.413 states/eV/f.u.
Formation energy (no corrections) ... -1300 kJ/mol of formula units
Magnetization ... 12.00 μB/f.u.

# 10
Cu2AsSe after structural relaxation, computed with PBE-GGA.

a b c (Å): 4.8353 4.8353 4.8353
angles (deg): 137.28 116.87 79.25
Fractional coordinates of all 4 atoms:
As 0.2500 0.7500 0.5000
Cu 0.0036 0.0036 0.0000
Cu 0.4964 0.4964 0.0000
Se 0.7500 0.2500 0.5000

Computed properties:
DOS(E_F) ... 1.688 states/eV/f.u.
Formation energy (no corrections) ... 109 kJ/mol of formula units
Magnetization ... 0.00 μB/f.u.

# 11
TlCoSb4 after structural relaxation, computed with PBE-GGA.

a b c (Å): 6.2558 6.2558 6.2558
angles (deg): 60.00 60.00 60.00
Fractional coordinates of all 6 atoms:
Tl 0.7500 0.7500 0.7500
Co 0.0000 0.0000 0.0000
Sb 0.8758 0.3747 0.3747
Sb 0.3747 0.3747 0.8758
Sb 0.3747 0.8758 0.3747
Sb 0.3747 0.3747 0.3747

Computed properties:
DOS(E_F) ... 3.751 states/eV/f.u.
Formation energy (no corrections) ... 364 kJ/mol of formula units
Magnetization ... 2.52 μB/f.u.

# 12
Ba2Li2H after structural relaxation, computed with PBE-GGA.

a b c (Å): 7.6470 7.6470 6.1946
angles (deg): 90.00 90.00 90.00
Fractional coordinates of all 10 atoms:
H 0.0000 0.0000 0.0000
H 0.5000 0.5000 0.0000
Ba 0.3085 0.8085 0.0000
Ba 0.8085 0.6915 0.0000
Ba 0.6915 0.1915 0.0000
Ba 0.1915 0.3085 0.0000
Li 0.1303 0.6303 0.5000
Li 0.6303 0.8697 0.5000
Li 0.8697 0.3697 0.5000
Li 0.3697 0.1303 0.5000

Computed properties:
Total DFT energy (no corrections) ... -21.2 eV/cell
DOS(E_F) ... 4.410 states/eV/f.u.
Magnetization ... 0.00 μB/f.u.